# 1
A plane-wave DFT calculation with PBE was carried out for a relaxed Ga3CoS crystal.

DOS(E_F): 0.84 states/eV/atom
Crystal system: cubic
Final energy: -3.250 eV/atom
Raw formation energy: 0.81 eV/atom
Energy above the lowest structure with this stoichiometry: 18.626 kcal/mol of atoms

abc: 4.756 4.756 4.756
angles: 90.00 90.00 90.00
Space group Pm-3m (No. 221)
Inequivalent atoms, fractional coordinates:
Ga (0.000, 0.000, 0.500)
Co (0.500, 0.500, 0.500)
S (0.000, 0.000, 0.000)

***

# 2
A plane-wave DFT calculation with PBE was carried out for a relaxed Ga2CoS crystal.

DOS(E_F): 0.41 states/eV/atom
Crystal system: tetragonal
Final energy: -4.163 eV/atom
Raw formation energy: 0.16 eV/atom

abc: 5.876 5.876 9.423
angles: 90.00 90.00 90.00
Space group I-42d (No. 122)
Inequivalent atoms, fractional coordinates:
Ga (0.235, 0.250, 0.125)
Co (0.000, 0.000, 0.000)
S (0.000, 0.000, 0.500)